{"formula": "Mg4NiRu", "functional": "GGA-PBE", "state": "relaxed", "space_group": "F-43m, No. 216", "ef_ev_per_atom": 0.54, "lattice": [[0.000, 3.745, 3.745], [3.745, 0.000, 3.745], [3.745, 3.745, 0.000]], "species": ["Mg", "Mg", "Mg", "Mg", "Ni", "Ru"], "fractional_positions": [[0.125, 0.125, 0.125], [0.125, 0.125, 0.624], [0.125, 0.624, 0.125], [0.624, 0.125, 0.125], [0.750, 0.750, 0.750], [0.500, 0.500, 0.500]]}